First-principles (PBE) data for Er4MgTl5 after structural relaxation, as listed in the Alexandria database.

Calculated values
energy relative to the elements: -5.82 kcal/mol of atoms
volume: 261.9 Å³ per cell
size of the total moment: 0.00 Bohr magnetons per cell

abc: 3.6799 3.6799 19.3435
angles: 90.00 90.00 90.00
Positions (direct):
Er 0.0000 0.0000 0.1032
Er 0.0000 0.0000 0.3096
Er 0.0000 0.0000 0.6904
Er 0.0000 0.0000 0.8968
Mg 0.0000 0.0000 0.5000
Tl 0.5000 0.5000 0.0000
Tl 0.5000 0.5000 0.2050
Tl 0.5000 0.5000 0.4095
Tl 0.5000 0.5000 0.5905
Tl 0.5000 0.5000 0.7950

***

First-principles (PBE) data for ErMgTl after structural relaxation, as listed in the Alexandria database.

Calculated values
energy relative to the elements: 5.21 kcal/mol of atoms
volume: 390.5 Å³ per cell
size of the total moment: 0.00 Bohr magnetons per cell

abc: 8.2898 9.5429 4.9362
angles: 90.00 90.00 90.00
Positions (direct):
Er 0.0000 0.1837 0.0000
Er 0.0000 0.8163 0.0000
Er 0.5000 0.3163 0.0000
Er 0.5000 0.6837 0.0000
Mg 0.1772 0.5000 0.5000
Mg 0.3228 0.0000 0.5000
Mg 0.6772 0.0000 0.5000
Mg 0.8228 0.5000 0.5000
Tl 0.0000 0.0000 0.5000
Tl 0.0000 0.5000 0.0000
Tl 0.5000 0.0000 0.0000
Tl 0.5000 0.5000 0.5000